Compound: TlSbTe
Source: Alexandria via LeMat-Bulk
Functional: PBE-GGA
Structure: optimized geometry

Lattice parameters (Å, degrees): 10.3368 10.3368 10.3368 162.59 162.59 24.72
Positions (direct):
Tl  0.0000  0.0000  0.0000
Sb  0.6387  0.6387  0.0000
Te  0.3346  0.3346  0.0000

Values from the calculation:
Formation energy without anion corrections, eV/atom: 0.087
E, eV/cell: -9.37
DOS at the Fermi energy, states/eV per atom: 0.47
Space-group type: I4mm, No. 107